Entry 1:
Here is crystalline Tc4Pt5 at its relaxed geometry from the Alexandria database. Energies are from PBE.

```
Tc4Pt5
1.0
-0.5418 -1.8929 3.3937
3.9586 -4.7764 0.2359
4.2886 4.4031 0.8727
Pt Tc
5 4
Cartesian
0.0000 0.0000 0.0000 Pt
2.6534 2.2828 1.6970 Pt
1.1653 -2.2470 1.2007 Pt
2.2514 -4.4223 2.4288 Pt
1.0934 0.2273 2.5694 Pt
2.8765 -0.1302 0.3866 Tc
5.3707 -0.2431 0.7219 Tc
3.8847 -2.2350 1.6416 Tc
3.8206 -0.0313 2.8606 Tc
```

symmetry	I4/mmm
total DFT energy (no corrections)	-8.17	eV per atom
E_form	-176	kJ/mol of formula units
E above lowest polymorph	0.0000	eV/atom

=====

Entry 2:
Here is crystalline MnCd5 at its relaxed geometry from the Alexandria database. Energies are from PBE.

```
MnCd5
1.0
-1.1128 -2.0057 6.1325
1.3372 -0.1838 6.4068
-3.9209 4.6359 4.2303
Mn Cd
1 5
Cartesian
-3.5651 3.6177 7.8162 Mn
0.1546 -2.0528 12.2549 Cd
-0.6850 -0.3615 8.5202 Cd
-1.3297 1.0473 4.9209 Cd
-2.1013 0.6135 14.6955 Cd
-2.7227 1.8782 11.8451 Cd
```

symmetry	Cm
total DFT energy (no corrections)	-2.18	eV per atom
E_form	67	kJ/mol of formula units
E above lowest polymorph	0.0000	eV/atom